## Ac9Tl3Co2 (PBE)

Data for a relaxed Ac9Tl3Co2 crystal.

- final energy (eV per cell) = -60.43
- energy of formation (kJ/mol of atoms) = -14.7
- size of the total moment (Bohr magnetons per cell) = 0.00
- volume (Å³/cell) = 506

Structure (CIF):
```
data_Ac9Tl3Co2
_cell_length_a 7.8067
_cell_length_b 7.8067
_cell_length_c 9.5782
_cell_angle_alpha 90.00
_cell_angle_beta 90.00
_cell_angle_gamma 120.00
_space_group_name_H-M_alt 'P -3 m 1'
_space_group_IT_number 164
_space_group_name_Hall '-P 3 2"'
loop_
_atom_site_label
_atom_site_fract_x
_atom_site_fract_y
_atom_site_fract_z
Ac1 0.0000 0.5000 0.0000
Ac2 0.1658 0.3316 0.6670
Tl1 0.0000 0.0000 0.0000
Tl2 0.3333 0.6667 0.3400
Co1 0.3333 0.6667 0.8291
```